{
  "formula": "PrHoCo10",
  "functional": "GGA-PBE",
  "state": "relaxed",
  "lattice": [[-3.215, -0.312, -2.266], [1.870, -4.087, -2.091], [-3.802, -4.841, 6.060]],
  "species": ["Pr", "Ho", "Co", "Co", "Co", "Co", "Co", "Co", "Co", "Co", "Co", "Co"],
  "frac_coords": [[0.000, 0.500, 0.500], [0.000, 0.000, 0.000], [0.000, 0.000, 0.323], [0.000, 0.500, 0.839], [0.000, 0.500, 0.161], [0.000, 0.000, 0.677], [0.500, 0.000, 0.500], [0.500, 0.500, 0.000], [0.500, 0.246, 0.244], [0.500, 0.754, 0.756], [0.500, 0.754, 0.244], [0.500, 0.246, 0.756]],
  "m_tot_mub_per_fu": 14.22,
  "ef_ev_per_atom": -0.066,
  "vol_a3_per_cell": 169.0,
  "dos_at_fermi_per_ev_cell": 19.18
}



{
  "formula": "ZrSn2Ir2",
  "functional": "GGA-PBE",
  "state": "relaxed",
  "lattice": [[-2.839, -1.584, 6.321], [1.249, -6.899, -1.168], [3.487, 0.351, 1.654]],
  "species": ["Ir", "Ir", "Ir", "Ir", "Sn", "Sn", "Sn", "Sn", "Zr", "Zr"],
  "frac_coords": [[0.368, 0.868, 0.000], [0.868, 0.632, 0.000], [0.632, 0.132, 0.000], [0.132, 0.368, 0.000], [0.170, 0.670, 0.500], [0.670, 0.830, 0.500], [0.830, 0.330, 0.500], [0.330, 0.170, 0.500], [0.000, 0.000, 0.000], [0.500, 0.500, 0.000]],
  "m_tot_mub_per_fu": 0.00,
  "ef_ev_per_atom": -0.248,
  "vol_a3_per_cell": 195.8,
  "dos_at_fermi_per_ev_cell": 6.01
}



{
  "formula": "Y2NiOs",
  "functional": "GGA-PBE",
  "state": "relaxed",
  "lattice": [[-2.610, -1.759, 1.236], [1.944, -0.129, 3.921], [-2.599, 4.874, 1.449]],
  "species": ["Ni", "Os", "Y", "Y"],
  "frac_coords": [[0.000, 0.000, 0.448], [0.500, 0.500, 0.807], [0.000, 0.000, 0.926], [0.500, 0.500, 0.319]],
  "m_tot_mub_per_fu": 0.00,
  "ef_ev_per_atom": 0.100,
  "vol_a3_per_cell": 84.5,
  "dos_at_fermi_per_ev_cell": 2.01
}



{
  "formula": "SrTa2Pb",
  "functional": "GGA-PBE",
  "state": "relaxed",
  "lattice": [[3.050, 0.000, 0.000], [0.000, 3.050, 0.000], [0.000, 0.000, 10.323]],
  "species": ["Pb", "Sr", "Ta", "Ta"],
  "frac_coords": [[0.500, 0.500, 0.250], [0.500, 0.500, 0.750], [0.000, 0.000, 0.025], [0.000, 0.000, 0.475]],
  "m_tot_mub_per_fu": 0.00,
  "ef_ev_per_atom": 0.947,
  "vol_a3_per_cell": 96.0,
  "dos_at_fermi_per_ev_cell": 5.44
}



{
  "formula": "La2Tm3Ir2",
  "functional": "GGA-PBE",
  "state": "relaxed",
  "lattice": [[3.687, 0.000, 1.036], [1.382, 5.917, 2.158], [-0.413, -0.286, 8.548]],
  "species": ["La", "La", "Tm", "Tm", "Tm", "Ir", "Ir"],
  "frac_coords": [[0.166, 0.470, 0.197], [0.834, 0.530, 0.803], [0.500, 0.000, 0.000], [0.378, 0.816, 0.428], [0.622, 0.184, 0.572], [0.172, 0.898, 0.757], [0.828, 0.102, 0.243]],
  "m_tot_mub_per_fu": 0.00,
  "ef_ev_per_atom": -0.632,
  "vol_a3_per_cell": 190.9,
  "dos_at_fermi_per_ev_cell": 7.27
}



{
  "formula": "YReAg2",
  "functional": "GGA-PBE",
  "state": "relaxed",
  "lattice": [[5.889, -0.007, 0.568], [5.017, 3.084, 0.568], [1.503, 0.424, 4.453]],
  "species": ["Ag", "Ag", "Re", "Y"],
  "frac_coords": [[0.023, 0.023, 0.977], [0.477, 0.477, 0.523], [0.750, 0.750, 0.750], [0.250, 0.250, 0.250]],
  "m_tot_mub_per_fu": 0.00,
  "ef_ev_per_atom": 0.390,
  "vol_a3_per_cell": 78.2,
  "e_above_lowest_polymorph_mev_per_atom": 6,
  "dos_at_fermi_per_ev_cell": 4.15
}



Repeat the first record exactly.
{
  "formula": "PrHoCo10",
  "functional": "GGA-PBE",
  "state": "relaxed",
  "lattice": [[-3.215, -0.312, -2.266], [1.870, -4.087, -2.091], [-3.802, -4.841, 6.060]],
  "species": ["Pr", "Ho", "Co", "Co", "Co", "Co", "Co", "Co", "Co", "Co", "Co", "Co"],
  "frac_coords": [[0.000, 0.500, 0.500], [0.000, 0.000, 0.000], [0.000, 0.000, 0.323], [0.000, 0.500, 0.839], [0.000, 0.500, 0.161], [0.000, 0.000, 0.677], [0.500, 0.000, 0.500], [0.500, 0.500, 0.000], [0.500, 0.246, 0.244], [0.500, 0.754, 0.756], [0.500, 0.754, 0.244], [0.500, 0.246, 0.756]],
  "m_tot_mub_per_fu": 14.22,
  "ef_ev_per_atom": -0.066,
  "vol_a3_per_cell": 169.0,
  "dos_at_fermi_per_ev_cell": 19.18
}